DFT (GGA-PBE) results for a geometry-optimized VMoOs2 structure.

The calculation puts the calculated formation energy at 738 meV/atom. The crystal system is tetragonal. For the size of the total moment, the calculation gives 0.000 μB per formula unit.

The structure belongs to space group I-42d (No. 122); the cell edges are 3.8773, 3.8773 and 17.2510 Å and the angles 90.00°, 90.00° and 90.00°. The inequivalent atoms are V at (0.0000, 0.0000, 0.0000), Mo at (0.0000, 0.0000, 0.5000) and Os at (0.2172, 0.2500, 0.1250).